{
  "formula": "TiBeNO2",
  "functional": "PBE",
  "state": "relaxed",
  "energy_ev_per_cell": -35.02,
  "lattice": [[3.3161, 0.0000, 0.0000], [0.0000, 3.3161, 0.0000], [0.0000, 0.0000, 3.6398]],
  "species": ["Ti", "Be", "N", "O", "O"],
  "fractional_positions": [[0.0000, 0.0000, 0.0000], [0.5000, 0.5000, 0.5000], [0.5000, 0.5000, 0.0000], [0.0000, 0.5000, 0.5000], [0.5000, 0.0000, 0.5000]]
}